Material: BiH2I2
Method: DFT, PBE
State: optimized geometry

abc: 8.7076 11.6092 3.9094
angles: 90.08 90.20 67.97
Last column: nearest neighbours and their distance in Å.
Element x y z (fractional)
Bi1 0.2497 0.5007 0.0000  4 I 3.08-3.09
Bi2 0.7503 0.4993 0.0000  4 I 3.08-3.09
H1 0.8491 0.0000 0.5660  1 H 0.75
H2 0.7990 0.0000 0.4091  1 H 0.75
H3 0.2010 0.0000 0.5909  1 H 0.75
H4 0.1509 0.0000 0.4340  1 H 0.75
I1 0.6002 0.2969 0.9990  2 Bi 3.08-3.09
I2 0.3998 0.7031 0.0010  2 Bi 3.08-3.09
I3 0.8971 0.7031 0.9990  2 Bi 3.08-3.09
I4 0.1029 0.2969 0.0010  2 Bi 3.08-3.09

Computed properties:
space-group type	C2/m
theoretical density	4.21	g/cm³
calculated volume	36.635	A^3/atom
final energy	-2.92	eV per atom
D(E_F)	0.09	states/eV/atom
energy relative to the lowest polymorph listed for this composition	0.0	meV per atom
magnetization	0.0	μB/f.u.